No. 1
Tm2ScHg PBE relaxed; M_tot = 0.0 μB per formula unit; ΔE_f = 43 kJ/mol of formula units; calculated density = 8424 kg/m³; energy relative to the lowest polymorph listed for this composition = 327 meV/atom
1.0
1.6986 0.9807 11.5058
-1.6986 0.9807 11.5058
0.0000 -1.9614 11.5058
Tm Sc Hg
2 1 1
Direct
0.0904 0.0904 0.0904
0.9096 0.9096 0.9096
0.5000 0.5000 0.5000
0.0000 0.0000 0.0000

---

No. 2
SrHf2Te PBE relaxed; M_tot = 0.0 μB per formula unit; calculated density = 7881 kg/m³; raw formation energy = 0.31 eV/atom
1.0
-2.3445 2.3445 10.9666
2.3445 -2.3445 10.9666
2.3445 2.3445 -10.9666
Sr Hf Te
2 4 2
Direct
0.0000 0.0000 0.0000
0.7500 0.2500 0.5000
0.2397 0.6250 0.1147
0.3750 0.4897 0.6147
0.5103 0.1250 0.8853
0.8750 0.7603 0.3853
0.2500 0.7500 0.5000
0.5000 0.5000 0.0000

---

No. 3
Tb2Pm3Pr2 PBE relaxed; M_tot = 0.0 μB per formula unit; ΔE_f = 10 kJ/mol of formula units; calculated density = 7173 kg/m³; energy relative to the lowest polymorph listed for this composition = 0 meV/atom
1.0
3.6472 0.0000 0.0000
1.8142 7.9240 0.0000
0.0143 3.3509 8.2875
Tb Pm Pr
2 3 2
Direct
0.0705 0.3596 0.2128
0.9295 0.6404 0.7872
0.3589 0.7824 0.0708
0.5000 0.5000 0.5000
0.6411 0.2176 0.9292
0.2146 0.0702 0.6447
0.7854 0.9298 0.3553

---

No. 4
Pr3Ga PBE relaxed; M_tot = 0.0 μB per formula unit; ΔE_f = -99 kJ/mol of formula units; calculated density = 6579 kg/m³; energy relative to the lowest polymorph listed for this composition = 0 meV/atom
1.0
-6.2567 6.2567 3.1750
6.2567 -6.2567 3.1750
6.2567 6.2567 -3.1750
Pr Ga
12 4
Direct
0.0855 0.0441 0.6115
0.1162 0.3142 0.9594
0.1219 0.4492 0.5991
0.3549 0.1568 0.0406
0.4327 0.4740 0.3885
0.4772 0.8781 0.3273
0.5260 0.9145 0.9587
0.5508 0.1499 0.6727
0.6858 0.6451 0.8020
0.8432 0.8838 0.1980
0.8501 0.5228 0.4009
0.9559 0.5673 0.0413
0.0697 0.7218 0.7498
0.2782 0.0281 0.3479
0.6801 0.9303 0.6521
0.9719 0.3199 0.2502

---

No. 5
RbCd4Au PBE relaxed; M_tot = 0.0 μB per formula unit; ΔE_f = 16 kJ/mol of formula units; calculated density = 7708 kg/m³; energy relative to the lowest polymorph listed for this composition = 121 meV/atom
1.0
0.0000 4.2883 4.2883
4.2883 0.0000 4.2883
4.2883 4.2883 0.0000
Rb Cd Au
1 4 1
Direct
0.0000 0.0000 0.0000
0.1285 0.6238 0.6238
0.6238 0.1285 0.6238
0.6238 0.6238 0.1285
0.6238 0.6238 0.6238
0.2500 0.2500 0.2500

---

No. 6
CaGa3 PBE relaxed; M_tot = 0.0 μB per formula unit; ΔE_f = -116 kJ/mol of formula units; calculated density = 4753 kg/m³
1.0
5.8569 0.0000 0.0000
0.0000 4.0251 0.0000
0.0000 0.0000 7.3880
Ca Ga
2 6
Direct
0.2500 0.0000 0.2063
0.7500 0.0000 0.7937
0.0000 0.5000 0.5000
0.2500 0.0000 0.6495
0.2500 0.5000 0.8831
0.5000 0.5000 0.5000
0.7500 0.0000 0.3505
0.7500 0.5000 0.1169

---

No. 7
ErH2S PBE relaxed; M_tot = 0.0 μB per formula unit; total energy = -4.3254 eV/atom; calculated density = 7188 kg/m³
1.0
2.0468 1.1817 3.2049
-2.0468 1.1817 3.2049
0.0000 -2.3635 3.2049
Er H S
1 2 1
Direct
0.0000 0.0000 0.0000
0.2299 0.2299 0.2299
0.7701 0.7701 0.7701
0.5000 0.5000 0.5000

---

No. 8
Rb2TaCdBr6 PBE relaxed; M_tot = 1.0 μB per formula unit; calculated density = 3775 kg/m³; raw formation energy = -1.01 eV/atom
1.0
0.0000 5.9209 5.9209
5.9209 0.0000 5.9209
5.9209 5.9209 0.0000
Rb Ta Cd Br
2 1 1 6
Direct
0.2500 0.2500 0.2500
0.7500 0.7500 0.7500
0.0000 0.0000 0.0000
0.5000 0.5000 0.5000
0.2187 0.2187 0.7813
0.2187 0.7813 0.2187
0.2187 0.7813 0.7813
0.7813 0.2187 0.2187
0.7813 0.2187 0.7813
0.7813 0.7813 0.2187

---

No. 9
LiNi2Pd6 PBE relaxed; M_tot = 3.3 μB per formula unit; ΔE_f = -30 kJ/mol of formula units; calculated density = 9709 kg/m³
1.0
4.4587 -1.3667 0.0000
4.4587 1.3667 0.0000
-0.4508 0.0000 10.7054
Li Ni Pd
1 2 6
Direct
0.0000 0.0000 0.0000
0.1619 0.1619 0.6792
0.8381 0.8381 0.3208
0.1315 0.1315 0.4394
0.2780 0.2780 0.1101
0.4476 0.4476 0.7770
0.5524 0.5524 0.2230
0.7220 0.7220 0.8899
0.8685 0.8685 0.5606

---

No. 10
LaY2CdCo PBE relaxed; M_tot = 0.0 μB per formula unit; ΔE_f = -61 kJ/mol of formula units; calculated density = 5594 kg/m³; energy relative to the lowest polymorph listed for this composition = 0 meV/atom
1.0
5.2839 0.0000 0.0000
0.0000 5.2839 0.0000
0.0000 0.0000 5.1892
La Y Cd Co
1 2 1 1
Direct
0.0000 0.0000 0.0000
0.0000 0.5000 0.5000
0.5000 0.0000 0.5000
0.5000 0.5000 0.0000
0.0000 0.0000 0.5000

---

No. 11
CaAg7F12 PBE relaxed; M_tot = 0.0 μB per formula unit; calculated density = 5455 kg/m³; raw formation energy = -1.44 eV/atom
1.0
-4.2702 4.2702 4.2702
4.2702 -4.2702 4.2702
4.2702 4.2702 -4.2702
Ca Ag F
1 7 12
Direct
0.0000 0.0000 0.0000
0.0000 0.0000 0.5000
0.0000 0.5000 0.0000
0.0000 0.5000 0.5000
0.5000 0.0000 0.0000
0.5000 0.0000 0.5000
0.5000 0.5000 0.0000
0.5000 0.5000 0.5000
0.1118 0.2763 0.8356
0.1644 0.4407 0.2763
0.1644 0.8882 0.7237
0.2763 0.1644 0.4407
0.2763 0.8356 0.1118
0.4407 0.2763 0.1644
0.5593 0.7237 0.8356
0.7237 0.1644 0.8882
0.7237 0.8356 0.5593
0.8356 0.1118 0.2763
0.8356 0.5593 0.7237
0.8882 0.7237 0.1644

---

No. 12
Sm6Dy2YHo PBE relaxed; M_tot = 0.0 μB per formula unit; ΔE_f = 112 kJ/mol of formula units; calculated density = 7377 kg/m³
1.0
4.5767 -7.6368 0.0000
4.5767 7.6368 0.0000
-1.2409 0.0000 9.5378
Sm Dy Y Ho
12 4 2 2
Direct
0.0151 0.5666 0.1866
0.1221 0.7577 0.5542
0.2423 0.8779 0.9458
0.2901 0.5045 0.3808
0.4334 0.9849 0.3134
0.4955 0.7099 0.1192
0.5045 0.2901 0.8808
0.5666 0.0151 0.6866
0.7099 0.4955 0.6192
0.7577 0.1221 0.0542
0.8779 0.2423 0.4458
0.9849 0.4334 0.8134
0.1991 0.3030 0.0444
0.3030 0.1991 0.5444
0.6970 0.8009 0.4556
0.8009 0.6970 0.9556
0.0251 0.9749 0.2500
0.9749 0.0251 0.7500
0.4100 0.5900 0.7500
0.5900 0.4100 0.2500